Below is a relaxed YZrAgS2 crystal, with properties calculated at the PBE level.

Geometry as CIF:
```
data_YZrAgS2
_space_group_name_H-M_alt 'P 4/m m m'
_space_group_IT_number 123
_space_group_name_Hall '-P 4 2'
_cell_length_a 4.871
_cell_length_b 4.871
_cell_length_c 5.218
_cell_angle_alpha 90.00
_cell_angle_beta 90.00
_cell_angle_gamma 90.00
loop_
_atom_site_label
_atom_site_fract_x
_atom_site_fract_y
_atom_site_fract_z
Y1 0.000 0.000 0.000
Zr1 0.500 0.500 0.000
Ag1 0.000 0.000 0.500
S1 0.000 0.500 0.500
```

Summary:
For the raw formation energy, the calculation gives 2.41 eV per formula unit. For the magnetic moment, the calculation gives 0.00 μB/cell.